LiLuScAu GGA-PBE relaxed; DFT formation energy = -0.4243 eV/atom; symmetry = F-43m, No. 216
1.0
-2.502 3.946 -1.450
-4.440 -0.513 -1.988
-3.969 1.426 2.478
Sc Lu Li Au
1 1 1 1
Cartesian
0.000 0.000 0.000
-5.455 2.429 -0.480
-8.183 3.644 -0.720
-2.728 1.215 -0.240